# 1
Density functional theory data (SCAN) for a PBEsol-optimized structure of CaLa3Tl.

Structure (POSCAR):
```
CaLa3Tl
1.0
5.648 0.000 0.000
0.000 5.648 0.000
0.000 0.000 5.648
Tl Ca La
1 1 3
direct
0.500 0.500 0.500
0.000 0.000 0.000
0.000 0.500 0.000
0.000 0.000 0.500
0.500 0.000 0.000
```

Results
The space-group type is Pm-3m (221). The value obtained for the energy relative to the elements is 0.66 eV per atom.

=====

# 2
Density functional theory data (SCAN) for a PBEsol-optimized structure of HfMnTl2Cr.

Structure (POSCAR):
```
HfMnTl2Cr
1.0
-2.958 2.583 -2.317
-3.708 -0.663 3.995
1.926 4.476 2.530
Cr Tl Mn Hf
1 2 1 1
direct
0.500 0.000 0.000
0.000 0.000 0.500
0.000 0.500 0.000
0.500 0.500 0.500
0.000 0.000 0.000
```

Results
The space-group type is P4/mmm (123). The value obtained for the energy relative to the elements is 1.09 eV per atom.

=====

The following VASP energy values (in eV/cell) correspond, in order, to the records above: -208.1, -238.6.
The following size of the total moment values (in μB per formula unit) correspond, in order, to the records above: 0.00, 7.65.